Here is an optimized crystal structure of Tl4ClO2 from Alexandria. Energies are from GGA-PBE.

Crystal system = orthorhombic
E_tot = -3.6127 eV/atom

abc: 3.999 13.972 12.386
angles: 90.00 90.00 90.00
Space group Cmcm (No. 63)
Asymmetric unit:
Tl: 0.000 0.000 0.000 (multiplicity 4)
Tl: 0.000 0.252 0.115 (multiplicity 8)
Tl: 0.000 0.415 0.750 (multiplicity 4)
Cl: 0.000 0.076 0.750 (multiplicity 4)
O: 0.000 0.338 0.544 (multiplicity 8)


Here is an optimized crystal structure of Tl2ClO from Alexandria. Energies are from GGA-PBE.

Crystal system = cubic
E_tot = -3.1694 eV/atom

abc: 7.167 7.167 7.167
angles: 90.00 90.00 90.00
Space group Fm-3m (No. 225)
Asymmetric unit:
Tl: 0.250 0.250 0.250 (multiplicity 8)
Cl: 0.000 0.000 0.000 (multiplicity 4)
O: 0.000 0.000 0.500 (multiplicity 4)


Here is an optimized crystal structure of Tl2ClO from Alexandria. Energies are from GGA-PBE.

Crystal system = trigonal
E_tot = -3.4768 eV/atom

abc: 3.9195 3.9195 21.3219
angles: 90.00 90.00 120.00
Space group R-3m (No. 166, hexagonal axes)
Asymmetric unit:
Tl: 0.0000 0.0000 0.2311 (multiplicity 6)
Cl: 0.0000 0.0000 0.0000 (multiplicity 3)
O: 0.0000 0.0000 0.5000 (multiplicity 3)


Here is an optimized crystal structure of Tl2ClO from Alexandria. Energies are from GGA-PBE.

Crystal system = triclinic
E_tot = -3.6027 eV/atom

abc: 5.925 6.459 6.779
angles: 75.49 64.93 83.35
Space group P1 (No. 1)
Asymmetric unit:
Tl: 0.000 0.000 0.000 (multiplicity 1)
Tl: 0.170 0.163 0.395 (multiplicity 1)
Tl: 0.350 0.544 0.655 (multiplicity 1)
Tl: 0.751 0.633 0.740 (multiplicity 1)
Cl: 0.494 0.667 0.190 (multiplicity 1)
Cl: 0.578 0.106 0.597 (multiplicity 1)
O: 0.032 0.358 0.723 (multiplicity 1)
O: 0.059 0.815 0.696 (multiplicity 1)


Here is an optimized crystal structure of Tl2ClO from Alexandria. Energies are from GGA-PBE.

Crystal system = tetragonal
E_tot = -3.4789 eV/atom

abc: 7.123 7.123 8.559
angles: 90.00 90.00 90.00
Space group I-42d (No. 122)
Asymmetric unit:
Tl: 0.176 0.250 0.125 (multiplicity 8)
Cl: 0.000 0.000 0.500 (multiplicity 4)
O: 0.000 0.000 0.000 (multiplicity 4)


Here is an optimized crystal structure of Tl12Cl3O5 from Alexandria. Energies are from GGA-PBE.

Crystal system = cubic
E_tot = -3.4653 eV/atom

abc: 16.771 16.771 16.771
angles: 90.00 90.00 90.00
Space group Ia-3d (No. 230)
Asymmetric unit:
Tl: 0.033 0.056 0.649 (multiplicity 96)
Cl: 0.000 0.250 0.125 (multiplicity 24)
O: 0.000 0.000 0.000 (multiplicity 16)
O: 0.000 0.250 0.375 (multiplicity 24)


Here is an optimized crystal structure of Tl4Cl5O from Alexandria. Energies are from GGA-PBE.

Crystal system = monoclinic
E_tot = -3.0588 eV/atom

abc: 14.568 4.475 11.489
angles: 90.00 90.26 90.00
Space group C2/m (No. 12)
Asymmetric unit:
Tl: 0.071 0.000 0.342 (multiplicity 4)
Tl: 0.129 0.500 0.925 (multiplicity 4)
Cl: 0.000 0.500 0.500 (multiplicity 2)
Cl: 0.116 0.000 0.772 (multiplicity 4)
Cl: 0.192 0.000 0.099 (multiplicity 4)
O: 0.000 0.500 0.000 (multiplicity 2)


Here is an optimized crystal structure of UTl2Cl2O2 from Alexandria. Energies are from GGA-PBE.

Crystal system = tetragonal
E_tot = -6.0194 eV/atom

abc: 4.417 4.417 17.508
angles: 90.00 90.00 90.00
Space group I4/mmm (No. 139)
Asymmetric unit:
U: 0.000 0.000 0.000 (multiplicity 2)
Tl: 0.000 0.000 0.368 (multiplicity 4)
Cl: 0.000 0.000 0.162 (multiplicity 4)
O: 0.000 0.500 0.000 (multiplicity 4)